# YCuRh2 PBE optimized geometry
# Offset from the most stable computed form: 7.49 kcal/mol of atoms
# Energy relative to the elements: -9.3 kJ/mol of atoms
# Spin magnetization: 0.0 μB/cell
data_YCuRh2
_chemical_formula_sum 'Y4 Cu4 Rh8'
_cell_length_a 4.072
_cell_length_b 4.072
_cell_length_c 17.859
_cell_angle_alpha 90.00
_cell_angle_beta 90.00
_cell_angle_gamma 90.00
_space_group_name_H-M_alt 'I -4 2 d'
_space_group_IT_number 122
_space_group_name_Hall 'I -4 2bw'
loop_
_atom_site_label
_atom_site_type_symbol
_atom_site_fract_x
_atom_site_fract_y
_atom_site_fract_z
Y1 Y 0.000 0.000 0.000
Cu1 Cu 0.000 0.000 0.500
Rh1 Rh 0.189 0.250 0.625


# SiNiSb2C PBE optimized geometry
# Total DFT energy (no corrections): -4.66 eV per atom
# Spin magnetization: 0.0 μB/cell
data_SiNiSb2C
_chemical_formula_sum 'Si1 Ni1 Sb2 C1'
_cell_length_a 5.349
_cell_length_b 5.349
_cell_length_c 3.412
_cell_angle_alpha 90.00
_cell_angle_beta 90.00
_cell_angle_gamma 90.00
_space_group_name_H-M_alt 'P 4/m m m'
_space_group_IT_number 123
_space_group_name_Hall '-P 4 2'
loop_
_atom_site_label
_atom_site_type_symbol
_atom_site_fract_x
_atom_site_fract_y
_atom_site_fract_z
Si1 Si 0.000 0.000 0.000
Ni1 Ni 0.500 0.500 0.500
Sb1 Sb 0.000 0.500 0.000
C1 C 0.000 0.000 0.500


# La2In2I PBE optimized geometry
# Total DFT energy (no corrections): -3.97 eV per atom
# Spin magnetization: 0.0 μB/cell
data_La2In2I
_chemical_formula_sum 'La4 In4 I2'
_cell_length_a 8.616
_cell_length_b 8.616
_cell_length_c 4.661
_cell_angle_alpha 90.00
_cell_angle_beta 90.00
_cell_angle_gamma 90.00
_space_group_name_H-M_alt 'P 4/m b m'
_space_group_IT_number 127
_space_group_name_Hall '-P 4 2ab'
loop_
_atom_site_label
_atom_site_type_symbol
_atom_site_fract_x
_atom_site_fract_y
_atom_site_fract_z
La1 La 0.172 0.328 0.000
In1 In 0.124 0.624 0.500
I1 I 0.000 0.000 0.000


# Th3InHg PBE optimized geometry
# Offset from the most stable computed form: 3.02 kcal/mol of atoms
# Energy relative to the elements: -2.3 kJ/mol of atoms
# Spin magnetization: 0.0 μB/cell
data_Th3InHg
_chemical_formula_sum 'Th6 In2 Hg2'
_cell_length_a 5.638
_cell_length_b 6.809
_cell_length_c 7.838
_cell_angle_alpha 90.00
_cell_angle_beta 96.98
_cell_angle_gamma 90.00
_space_group_name_H-M_alt 'P 1 21/m 1'
_space_group_IT_number 11
loop_
_space_group_symop_operation_xyz
'x,y,z'
'-x,-y,-z'
'-x,y+1/2,-z'
'x,-y+1/2,z'
loop_
_atom_site_label
_atom_site_type_symbol
_atom_site_fract_x
_atom_site_fract_y
_atom_site_fract_z
Th1 Th 0.182 0.019 0.227
Th2 Th 0.301 0.250 0.704
In1 In 0.350 0.750 0.920
Hg1 Hg 0.263 0.750 0.561


# CsRb2PPd PBE optimized geometry
# Offset from the most stable computed form: 0.00 kcal/mol of atoms
# Energy relative to the elements: -9.3 kJ/mol of atoms
# Spin magnetization: 0.0 μB/cell
data_CsRb2PPd
_chemical_formula_sum 'Cs1 Rb2 P1 Pd1'
_cell_length_a 6.743
_cell_length_b 6.743
_cell_length_c 4.596
_cell_angle_alpha 90.00
_cell_angle_beta 90.00
_cell_angle_gamma 90.00
_space_group_name_H-M_alt 'P 4/m m m'
_space_group_IT_number 123
_space_group_name_Hall '-P 4 2'
loop_
_atom_site_label
_atom_site_type_symbol
_atom_site_fract_x
_atom_site_fract_y
_atom_site_fract_z
Cs1 Cs 0.000 0.000 0.000
Rb1 Rb 0.000 0.500 0.500
P1 P 0.500 0.500 0.500
Pd1 Pd 0.500 0.500 0.000


# Mg2InCl PBE optimized geometry
# Offset from the most stable computed form: 6.47 kcal/mol of atoms
# Spin magnetization: 0.0 μB/cell
data_Mg2InCl
_chemical_formula_sum 'Mg4 In2 Cl2'
_cell_length_a 4.269
_cell_length_b 4.269
_cell_length_c 10.800
_cell_angle_alpha 90.00
_cell_angle_beta 90.00
_cell_angle_gamma 90.00
_space_group_name_H-M_alt 'I -4 m 2'
_space_group_IT_number 119
_space_group_name_Hall 'I -4 -2'
loop_
_atom_site_label
_atom_site_type_symbol
_atom_site_fract_x
_atom_site_fract_y
_atom_site_fract_z
Mg1 Mg 0.000 0.000 0.000
Mg2 Mg 0.000 0.500 0.250
In1 In 0.000 0.000 0.500
Cl1 Cl 0.000 0.500 0.750


Number 1: DOS at the Fermi energy 3.3 states/eV/f.u.. Number 2: DOS at the Fermi energy 4.7 states/eV/f.u.. Number 3: DOS at the Fermi energy 4.8 states/eV/f.u.. Number 4: DOS at the Fermi energy 5.1 states/eV/f.u.. Number 5: DOS at the Fermi energy 3.0 states/eV/f.u.. Number 6: DOS at the Fermi energy 1.3 states/eV/f.u..